(1)
LiCuP4Ru2O14 | PBE | relaxed

Cell lengths 4.927, 6.897, 8.475 Å; angles 93.56, 93.97, 105.92 degrees
Sites, in units of the cell vectors:
Li1 0.000 0.000 0.000
Cu1 0.127 0.277 0.734
P1 0.095 0.449 0.079
P2 0.106 0.782 0.638
P3 0.479 0.847 0.180
P4 0.710 0.382 0.535
Ru1 0.095 0.111 0.356
Ru2 0.604 0.617 0.857
O1 0.214 0.965 0.546
O2 0.252 0.963 0.181
O3 0.274 0.397 0.943
O4 0.320 0.612 0.201
O5 0.339 0.686 0.689
O6 0.481 0.323 0.398
O7 0.593 0.858 0.014
O8 0.611 0.372 0.704
O9 0.706 0.906 0.318
O10 0.871 0.548 0.023
O11 0.880 0.613 0.515
O12 0.928 0.254 0.528
O13 0.943 0.833 0.780
O14 0.980 0.257 0.161

Computed properties:
The total energy comes out at -6.930 eV/atom. The density of states at the Fermi level comes out at 8.104 states/eV/f.u. As for the energy above the most stable polymorph in this dataset: 0.44 kJ per mole of atoms. The value obtained for the uncorrected formation energy is -1.68 eV/atom.

(2)
Li4Cu3SbP4O16 | PBE | relaxed

Cell lengths 4.850, 6.415, 10.262 Å; angles 90.00, 94.04, 90.00 degrees
Sites, in units of the cell vectors:
Li1 0.000 0.243 0.000
Li2 0.000 0.757 0.000
Li3 0.586 0.253 0.423
Li4 0.586 0.747 0.423
Cu1 0.086 0.500 0.253
Cu2 0.442 0.500 0.761
Cu3 0.582 0.000 0.174
Sb1 0.989 0.000 0.676
P1 0.125 0.000 0.366
P2 0.437 0.000 0.885
P3 0.579 0.500 0.069
P4 0.945 0.500 0.552
O1 0.238 0.000 0.516
O2 0.248 0.197 0.305
O3 0.248 0.803 0.305
O4 0.258 0.500 0.074
O5 0.259 0.500 0.580
O6 0.303 0.000 0.019
O7 0.311 0.189 0.801
O8 0.311 0.811 0.801
O9 0.671 0.500 0.925
O10 0.716 0.304 0.137
O11 0.716 0.696 0.137
O12 0.752 0.000 0.903
O13 0.802 0.305 0.607
O14 0.802 0.695 0.607
O15 0.803 0.000 0.358
O16 0.850 0.500 0.403

Computed properties:
The total energy comes out at -6.294 eV/atom. The density of states at the Fermi level comes out at 4.577 states/eV/f.u. The value obtained for the uncorrected formation energy is -1.83 eV/atom.

(3)
Li4TiCu3P4O16 | PBE | relaxed

Cell lengths 4.800, 6.031, 10.389 Å; angles 90.00, 90.10, 90.00 degrees
Sites, in units of the cell vectors:
Li1 0.000 0.237 0.000
Li2 0.000 0.763 0.000
Li3 0.474 0.237 0.462
Li4 0.474 0.763 0.462
Ti1 0.978 0.500 0.699
Cu1 0.451 0.000 0.769
Cu2 0.514 0.500 0.195
Cu3 0.975 0.000 0.264
P1 0.045 0.500 0.387
P2 0.397 0.500 0.876
P3 0.568 0.000 0.073
P4 0.914 0.000 0.581
O1 0.162 0.500 0.534
O2 0.178 0.292 0.325
O3 0.178 0.708 0.325
O4 0.232 0.000 0.575
O5 0.250 0.000 0.069
O6 0.251 0.304 0.800
O7 0.251 0.696 0.800
O8 0.286 0.500 0.014
O9 0.697 0.000 0.935
O10 0.699 0.204 0.145
O11 0.699 0.796 0.145
O12 0.715 0.500 0.861
O13 0.725 0.500 0.392
O14 0.761 0.000 0.451
O15 0.803 0.213 0.656
O16 0.803 0.787 0.656

Computed properties:
The total energy comes out at -6.603 eV/atom. The density of states at the Fermi level comes out at 7.238 states/eV/f.u. As for the energy above the most stable polymorph in this dataset: 0.00 kJ per mole of atoms. The value obtained for the uncorrected formation energy is -2.00 eV/atom.

(4)
Li4TiCu3P4O16 | PBE | relaxed

Cell lengths 5.007, 6.245, 10.225 Å; angles 90.54, 90.31, 93.51 degrees
Sites, in units of the cell vectors:
Li1 0.000 0.000 0.000
Li2 0.078 0.530 0.094
Li3 0.471 0.466 0.765
Li4 0.709 0.944 0.510
Ti1 0.632 0.276 0.340
Cu1 0.187 0.740 0.411
Cu2 0.514 0.773 0.931
Cu3 0.936 0.239 0.786
P1 0.014 0.745 0.727
P2 0.221 0.257 0.515
P3 0.520 0.263 0.032
P4 0.666 0.763 0.226
O1 0.268 0.260 0.662
O2 0.315 0.735 0.757
O3 0.360 0.732 0.228
O4 0.374 0.072 0.447
O5 0.379 0.449 0.445
O6 0.380 0.057 0.975
O7 0.391 0.455 0.968
O8 0.442 0.269 0.183
O9 0.768 0.971 0.303
O10 0.787 0.767 0.087
O11 0.798 0.565 0.295
O12 0.827 0.271 0.024
O13 0.852 0.536 0.769
O14 0.890 0.930 0.808
O15 0.921 0.248 0.479
O16 0.975 0.781 0.578

Computed properties:
The total energy comes out at -6.600 eV/atom. The density of states at the Fermi level comes out at 7.348 states/eV/f.u. As for the energy above the most stable polymorph in this dataset: 0.27 kJ per mole of atoms. The value obtained for the uncorrected formation energy is -2.00 eV/atom.

We obtain magnetization values of 0.093 0.071 0.037 0.037 μB/atom for the records listed above, in that order.